# LaZr2Se | the Alexandria database | GGA-PBE | optimized geometry
# DOS(E_F) (states/eV/cell): 5.17
# Magnetic moment (μB/atom): 0.000
# Symmetry: I-4m2
data_LaZr2Se
_chemical_formula_sum 'La1 Zr2 Se1'
_cell_length_a 5.675
_cell_length_b 5.675
_cell_length_c 5.675
_cell_angle_alpha 133.29
_cell_angle_beta 133.29
_cell_angle_gamma 68.20
_space_group_name_H-M_alt 'P 1'
_space_group_IT_number 1
loop_
_space_group_symop_operation_xyz
'x,y,z'
loop_
_atom_site_label
_atom_site_fract_x
_atom_site_fract_y
_atom_site_fract_z
Zr1 0.000 0.000 0.000
Zr2 0.250 0.750 0.500
La1 0.500 0.500 0.000
Se1 0.750 0.250 0.500



# LaZrSe | the Alexandria database | GGA-PBE | optimized geometry
# DOS(E_F) (states/eV/cell): 3.37
# Magnetic moment (μB/atom): 1.333
# Distance to the lowest polymorph of the same formula (meV/atom): 1209.3
# Symmetry: F-43m
data_LaZrSe
_chemical_formula_sum 'La1 Zr1 Se1'
_cell_length_a 5.157
_cell_length_b 5.157
_cell_length_c 5.157
_cell_angle_alpha 60.00
_cell_angle_beta 60.00
_cell_angle_gamma 60.00
_space_group_name_H-M_alt 'P 1'
_space_group_IT_number 1
loop_
_space_group_symop_operation_xyz
'x,y,z'
loop_
_atom_site_label
_atom_site_fract_x
_atom_site_fract_y
_atom_site_fract_z
La1 0.750 0.750 0.750
Se1 0.000 0.000 0.000
Zr1 0.500 0.500 0.500



# La2Si3 | the Alexandria database | GGA-PBE | optimized geometry
# DOS(E_F) (states/eV/cell): 6.71
# Magnetic moment (μB/atom): 0.000
# Distance to the lowest polymorph of the same formula (meV/atom): 127.4
# Symmetry: Fdd2
data_La2Si3
_chemical_formula_sum 'La4 Si6'
_cell_length_a 9.151
_cell_length_b 8.215
_cell_length_c 5.777
_cell_angle_alpha 79.61
_cell_angle_beta 62.00
_cell_angle_gamma 38.39
_space_group_name_H-M_alt 'P 1'
_space_group_IT_number 1
loop_
_space_group_symop_operation_xyz
'x,y,z'
loop_
_atom_site_label
_atom_site_fract_x
_atom_site_fract_y
_atom_site_fract_z
Si1 0.406 0.849 0.938
Si2 0.314 0.186 0.186
Si3 0.064 0.936 0.936
Si4 0.401 0.844 0.443
Si5 0.807 0.938 0.849
Si6 0.312 0.443 0.844
La1 0.982 0.418 0.858
La2 0.741 0.858 0.418
La3 0.832 0.268 0.509
La4 0.392 0.509 0.268



# LaSi4 | the Alexandria database | GGA-PBE | optimized geometry
# DOS(E_F) (states/eV/cell): 1.30
# Magnetic moment (μB/atom): 0.000
# Distance to the lowest polymorph of the same formula (meV/atom): 1114.9
# Symmetry: Im-3m
data_LaSi4
_chemical_formula_sum 'La1 Si4'
_cell_length_a 5.648
_cell_length_b 5.648
_cell_length_c 5.648
_cell_angle_alpha 109.47
_cell_angle_beta 109.47
_cell_angle_gamma 109.47
_space_group_name_H-M_alt 'P 1'
_space_group_IT_number 1
loop_
_space_group_symop_operation_xyz
'x,y,z'
loop_
_atom_site_label
_atom_site_fract_x
_atom_site_fract_y
_atom_site_fract_z
Si1 0.500 0.500 0.500
Si2 0.500 0.000 0.000
Si3 0.000 0.500 0.000
Si4 0.000 0.000 0.500
La1 0.000 0.000 0.000



# La2Si3 | the Alexandria database | GGA-PBE | optimized geometry
# DOS(E_F) (states/eV/cell): 3.73
# Magnetic moment (μB/atom): 0.000
# Distance to the lowest polymorph of the same formula (meV/atom): 594.8
# Symmetry: P-3m1
data_La2Si3
_chemical_formula_sum 'La2 Si3'
_cell_length_a 5.050
_cell_length_b 5.050
_cell_length_c 6.227
_cell_angle_alpha 90.00
_cell_angle_beta 90.00
_cell_angle_gamma 120.00
_space_group_name_H-M_alt 'P 1'
_space_group_IT_number 1
loop_
_space_group_symop_operation_xyz
'x,y,z'
loop_
_atom_site_label
_atom_site_fract_x
_atom_site_fract_y
_atom_site_fract_z
Si1 0.667 0.333 0.747
Si2 0.000 0.000 0.000
Si3 0.333 0.667 0.253
La1 0.333 0.667 0.753
La2 0.667 0.333 0.247



# La5Si3 | the Alexandria database | GGA-PBE | optimized geometry
# DOS(E_F) (states/eV/cell): 19.33
# Magnetic moment (μB/atom): 0.000
# Distance to the lowest polymorph of the same formula (meV/atom): 55.2
# Symmetry: P6_3/mcm
data_La5Si3
_chemical_formula_sum 'La10 Si6'
_cell_length_a 8.941
_cell_length_b 8.941
_cell_length_c 6.878
_cell_angle_alpha 90.00
_cell_angle_beta 90.00
_cell_angle_gamma 120.00
_space_group_name_H-M_alt 'P 1'
_space_group_IT_number 1
loop_
_space_group_symop_operation_xyz
'x,y,z'
loop_
_atom_site_label
_atom_site_fract_x
_atom_site_fract_y
_atom_site_fract_z
Si1 0.607 0.000 0.750
Si2 0.607 0.607 0.250
Si3 0.000 0.393 0.250
Si4 0.000 0.607 0.750
Si5 0.393 0.393 0.750
Si6 0.393 0.000 0.250
La1 0.250 0.000 0.750
La2 0.333 0.667 0.500
La3 0.750 0.750 0.750
La4 0.667 0.333 0.500
La5 0.750 0.000 0.250
La6 0.000 0.250 0.750
La7 0.000 0.750 0.250
La8 0.667 0.333 0.000
La9 0.250 0.250 0.250
La10 0.333 0.667 0.000



# La3Si | the Alexandria database | GGA-PBE | optimized geometry
# DOS(E_F) (states/eV/cell): 6.01
# Magnetic moment (μB/atom): 0.001
# Symmetry: P4/mmm
data_La3Si
_chemical_formula_sum 'La3 Si1'
_cell_length_a 3.963
_cell_length_b 3.963
_cell_length_c 7.694
_cell_angle_alpha 90.00
_cell_angle_beta 90.00
_cell_angle_gamma 89.99
_space_group_name_H-M_alt 'P 1'
_space_group_IT_number 1
loop_
_space_group_symop_operation_xyz
'x,y,z'
loop_
_atom_site_label
_atom_site_fract_x
_atom_site_fract_y
_atom_site_fract_z
La1 0.000 0.000 0.055
La2 0.000 0.000 0.445
La3 0.500 0.500 0.750
Si1 0.500 0.500 0.250



# La2Si | the Alexandria database | GGA-PBE | optimized geometry
# DOS(E_F) (states/eV/cell): 6.25
# Magnetic moment (μB/atom): 0.000
# Symmetry: Cm
data_La2Si
_chemical_formula_sum 'La4 Si2'
_cell_length_a 6.553
_cell_length_b 6.553
_cell_length_c 6.712
_cell_angle_alpha 89.92
_cell_angle_beta 89.92
_cell_angle_gamma 39.55
_space_group_name_H-M_alt 'P 1'
_space_group_IT_number 1
loop_
_space_group_symop_operation_xyz
'x,y,z'
loop_
_atom_site_label
_atom_site_fract_x
_atom_site_fract_y
_atom_site_fract_z
Si1 0.019 0.019 0.475
Si2 0.259 0.259 0.974
La1 0.931 0.931 0.968
La2 0.638 0.638 0.725
La3 0.347 0.347 0.468
La4 0.640 0.640 0.225



# La3Si | the Alexandria database | GGA-PBE | optimized geometry
# DOS(E_F) (states/eV/cell): 6.12
# Magnetic moment (μB/atom): 0.000
# Symmetry: Fm-3m
data_La3Si
_chemical_formula_sum 'La3 Si1'
_cell_length_a 5.443
_cell_length_b 5.443
_cell_length_c 5.443
_cell_angle_alpha 60.00
_cell_angle_beta 60.00
_cell_angle_gamma 60.00
_space_group_name_H-M_alt 'P 1'
_space_group_IT_number 1
loop_
_space_group_symop_operation_xyz
'x,y,z'
loop_
_atom_site_label
_atom_site_fract_x
_atom_site_fract_y
_atom_site_fract_z
Si1 0.750 0.750 0.750
La1 0.000 0.000 0.000
La2 0.250 0.250 0.250
La3 0.500 0.500 0.500



# La5Si4 | the Alexandria database | GGA-PBE | optimized geometry
# DOS(E_F) (states/eV/cell): 8.16
# Magnetic moment (μB/atom): 0.000
# Distance to the lowest polymorph of the same formula (meV/atom): 15.2
# Symmetry: C2/m
data_La5Si4
_chemical_formula_sum 'La5 Si4'
_cell_length_a 4.557
_cell_length_b 6.081
_cell_length_c 9.820
_cell_angle_alpha 75.43
_cell_angle_beta 76.58
_cell_angle_gamma 68.00
_space_group_name_H-M_alt 'P 1'
_space_group_IT_number 1
loop_
_space_group_symop_operation_xyz
'x,y,z'
loop_
_atom_site_label
_atom_site_fract_x
_atom_site_fract_y
_atom_site_fract_z
La1 0.106 0.181 0.606
La2 0.754 0.660 0.833
La3 0.246 0.340 0.167
La4 0.000 0.000 0.000
La5 0.894 0.819 0.394
Si1 0.395 0.603 0.608
Si2 0.548 0.725 0.178
Si3 0.605 0.397 0.392
Si4 0.452 0.275 0.822



# LaSi5 | the Alexandria database | GGA-PBE | optimized geometry
# DOS(E_F) (states/eV/cell): 2.26
# Magnetic moment (μB/atom): 0.000
# Symmetry: C2/m
data_LaSi5
_chemical_formula_sum 'La2 Si10'
_cell_length_a 7.746
_cell_length_b 7.746
_cell_length_c 8.761
_cell_angle_alpha 73.58
_cell_angle_beta 73.58
_cell_angle_gamma 29.57
_space_group_name_H-M_alt 'P 1'
_space_group_IT_number 1
loop_
_space_group_symop_operation_xyz
'x,y,z'
loop_
_atom_site_label
_atom_site_fract_x
_atom_site_fract_y
_atom_site_fract_z
La1 0.425 0.425 0.258
La2 0.575 0.575 0.742
Si1 0.051 0.051 0.370
Si2 0.071 0.071 0.035
Si3 0.236 0.236 0.581
Si4 0.327 0.327 0.983
Si5 0.642 0.642 0.300
Si6 0.929 0.929 0.965
Si7 0.949 0.949 0.630
Si8 0.764 0.764 0.419
Si9 0.358 0.358 0.700
Si10 0.673 0.673 0.017



# La5Si2 | the Alexandria database | GGA-PBE | optimized geometry
# DOS(E_F) (states/eV/cell): 17.83
# Magnetic moment (μB/atom): 0.000
# Symmetry: C2/c
data_La5Si2
_chemical_formula_sum 'La10 Si4'
_cell_length_a 6.171
_cell_length_b 8.398
_cell_length_c 8.821
_cell_angle_alpha 97.68
_cell_angle_beta 110.47
_cell_angle_gamma 90.00
_space_group_name_H-M_alt 'P 1'
_space_group_IT_number 1
loop_
_space_group_symop_operation_xyz
'x,y,z'
loop_
_atom_site_label
_atom_site_fract_x
_atom_site_fract_y
_atom_site_fract_z
Si1 0.215 0.410 0.793
Si2 0.578 0.910 0.793
Si3 0.785 0.590 0.207
Si4 0.422 0.090 0.207
La1 0.073 0.064 0.825
La2 0.796 0.342 0.460
La3 0.248 0.436 0.175
La4 0.927 0.936 0.175
La5 0.336 0.158 0.540
La6 0.664 0.842 0.460
La7 0.646 0.250 0.000
La8 0.204 0.658 0.540
La9 0.354 0.750 0.000
La10 0.752 0.564 0.825



# La3Si | the Alexandria database | GGA-PBE | optimized geometry
# DOS(E_F) (states/eV/cell): 5.85
# Magnetic moment (μB/atom): 0.217
# Symmetry: R-3m
data_La3Si
_chemical_formula_sum 'La3 Si1'
_cell_length_a 10.105
_cell_length_b 10.105
_cell_length_c 10.105
_cell_angle_alpha 23.40
_cell_angle_beta 23.40
_cell_angle_gamma 23.40
_space_group_name_H-M_alt 'P 1'
_space_group_IT_number 1
loop_
_space_group_symop_operation_xyz
'x,y,z'
loop_
_atom_site_label
_atom_site_fract_x
_atom_site_fract_y
_atom_site_fract_z
La1 0.273 0.273 0.273
La2 0.727 0.727 0.727
La3 0.500 0.500 0.500
Si1 0.000 0.000 0.000



# La3Si4 | the Alexandria database | GGA-PBE | optimized geometry
# DOS(E_F) (states/eV/cell): 5.88
# Magnetic moment (μB/atom): 0.034
# Symmetry: Immm
data_La3Si4
_chemical_formula_sum 'La3 Si4'
_cell_length_a 4.004
_cell_length_b 4.574
_cell_length_c 9.607
_cell_angle_alpha 103.77
_cell_angle_beta 102.03
_cell_angle_gamma 90.00
_space_group_name_H-M_alt 'P 1'
_space_group_IT_number 1
loop_
_space_group_symop_operation_xyz
'x,y,z'
loop_
_atom_site_label
_atom_site_fract_x
_atom_site_fract_y
_atom_site_fract_z
La1 0.819 0.819 0.637
La2 0.181 0.181 0.363
La3 0.500 0.000 0.000
Si1 0.935 0.435 0.870
Si2 0.359 0.359 0.717
Si3 0.641 0.641 0.283
Si4 0.065 0.565 0.130



# La3Si | the Alexandria database | GGA-PBE | optimized geometry
# DOS(E_F) (states/eV/cell): 7.51
# Magnetic moment (μB/atom): 0.000
# Symmetry: P6_3/mmc
data_La3Si
_chemical_formula_sum 'La6 Si2'
_cell_length_a 7.122
_cell_length_b 7.122
_cell_length_c 5.208
_cell_angle_alpha 90.00
_cell_angle_beta 90.00
_cell_angle_gamma 120.00
_space_group_name_H-M_alt 'P 1'
_space_group_IT_number 1
loop_
_space_group_symop_operation_xyz
'x,y,z'
loop_
_atom_site_label
_atom_site_fract_x
_atom_site_fract_y
_atom_site_fract_z
Si1 0.667 0.333 0.750
Si2 0.333 0.667 0.250
La1 0.183 0.366 0.750
La2 0.183 0.817 0.750
La3 0.366 0.183 0.250
La4 0.817 0.183 0.250
La5 0.817 0.634 0.250
La6 0.634 0.817 0.750



# La5Si3 | the Alexandria database | GGA-PBE | optimized geometry
# DOS(E_F) (states/eV/cell): 26.53
# Magnetic moment (μB/atom): 0.000
# Distance to the lowest polymorph of the same formula (meV/atom): 0.0
# Symmetry: P4/ncc
data_La5Si3
_chemical_formula_sum 'La20 Si12'
_cell_length_a 7.949
_cell_length_b 7.949
_cell_length_c 14.176
_cell_angle_alpha 90.00
_cell_angle_beta 90.00
_cell_angle_gamma 90.00
_space_group_name_H-M_alt 'P 1'
_space_group_IT_number 1
loop_
_space_group_symop_operation_xyz
'x,y,z'
loop_
_atom_site_label
_atom_site_fract_x
_atom_site_fract_y
_atom_site_fract_z
La1 0.000 0.500 0.225
La2 0.184 0.828 0.104
La3 0.000 0.500 0.725
La4 0.172 0.816 0.396
La5 0.316 0.328 0.396
La6 0.184 0.172 0.604
La7 0.672 0.684 0.104
La8 0.672 0.316 0.604
La9 0.328 0.684 0.604
La10 0.816 0.828 0.604
La11 0.828 0.184 0.396
La12 0.684 0.672 0.396
La13 0.500 0.000 0.275
La14 0.816 0.172 0.104
La15 0.828 0.816 0.896
La16 0.328 0.316 0.104
La17 0.500 0.000 0.775
La18 0.172 0.184 0.896
La19 0.316 0.672 0.896
La20 0.684 0.328 0.896
Si1 0.500 0.000 0.498
Si2 0.887 0.113 0.750
Si3 0.387 0.613 0.250
Si4 0.000 0.500 0.502
Si5 0.113 0.113 0.250
Si6 0.113 0.887 0.750
Si7 0.500 0.000 0.998
Si8 0.387 0.387 0.750
Si9 0.613 0.613 0.750
Si10 0.887 0.887 0.250
Si11 0.000 0.500 0.002
Si12 0.613 0.387 0.250



# LaSi5 | the Alexandria database | GGA-PBE | optimized geometry
# DOS(E_F) (states/eV/cell): 2.74
# Magnetic moment (μB/atom): 0.000
# Symmetry: C2/m
data_LaSi5
_chemical_formula_sum 'La1 Si5'
_cell_length_a 3.771
_cell_length_b 5.975
_cell_length_c 5.975
_cell_angle_alpha 63.30
_cell_angle_beta 71.39
_cell_angle_gamma 71.39
_space_group_name_H-M_alt 'P 1'
_space_group_IT_number 1
loop_
_space_group_symop_operation_xyz
'x,y,z'
loop_
_atom_site_label
_atom_site_fract_x
_atom_site_fract_y
_atom_site_fract_z
Si1 0.675 0.515 0.136
Si2 0.675 0.136 0.515
Si3 0.000 0.500 0.500
Si4 0.325 0.864 0.485
Si5 0.325 0.485 0.864
La1 0.000 0.000 0.000



# LaSi4 | the Alexandria database | GGA-PBE | optimized geometry
# DOS(E_F) (states/eV/cell): 3.21
# Magnetic moment (μB/atom): 0.000
# Distance to the lowest polymorph of the same formula (meV/atom): 0.0
# Symmetry: I4/mmm
data_LaSi4
_chemical_formula_sum 'La1 Si4'
_cell_length_a 5.730
_cell_length_b 5.730
_cell_length_c 5.730
_cell_angle_alpha 134.06
_cell_angle_beta 134.06
_cell_angle_gamma 66.99
_space_group_name_H-M_alt 'P 1'
_space_group_IT_number 1
loop_
_space_group_symop_operation_xyz
'x,y,z'
loop_
_atom_site_label
_atom_site_fract_x
_atom_site_fract_y
_atom_site_fract_z
La1 0.000 0.000 0.000
Si1 0.250 0.750 0.500
Si2 0.750 0.250 0.500
Si3 0.359 0.359 0.000
Si4 0.641 0.641 0.000



# La3Si | the Alexandria database | GGA-PBE | optimized geometry
# DOS(E_F) (states/eV/cell): 3.97
# Magnetic moment (μB/atom): 0.000
# Symmetry: P2/m
data_La3Si
_chemical_formula_sum 'La3 Si1'
_cell_length_a 5.360
_cell_length_b 3.805
_cell_length_c 6.015
_cell_angle_alpha 79.55
_cell_angle_beta 90.00
_cell_angle_gamma 90.00
_space_group_name_H-M_alt 'P 1'
_space_group_IT_number 1
loop_
_space_group_symop_operation_xyz
'x,y,z'
loop_
_atom_site_label
_atom_site_fract_x
_atom_site_fract_y
_atom_site_fract_z
La1 0.500 0.750 0.750
La2 0.000 0.430 0.463
La3 0.000 0.070 0.037
Si1 0.500 0.250 0.250



# La4Si | the Alexandria database | GGA-PBE | optimized geometry
# DOS(E_F) (states/eV/cell): 10.80
# Magnetic moment (μB/atom): 0.242
# Symmetry: Pm-3m
data_La4Si
_chemical_formula_sum 'La4 Si1'
_cell_length_a 5.807
_cell_length_b 5.807
_cell_length_c 5.807
_cell_angle_alpha 90.00
_cell_angle_beta 90.00
_cell_angle_gamma 90.00
_space_group_name_H-M_alt 'P 1'
_space_group_IT_number 1
loop_
_space_group_symop_operation_xyz
'x,y,z'
loop_
_atom_site_label
_atom_site_fract_x
_atom_site_fract_y
_atom_site_fract_z
La1 0.000 0.500 0.500
La2 0.500 0.000 0.500
La3 0.500 0.500 0.000
La4 0.000 0.000 0.000
Si1 0.500 0.500 0.500



The evaluated energy relative to the elements, uncorrected for the records listed, in turn: -0.181, 0.362, -0.579, 0.926, -0.112, -0.557, -0.284, -0.477, -0.063, -0.676, -0.178, -0.438, -0.155, -0.735, -0.315, -0.613, -0.192, -0.188, -0.157, -0.020 eV/atom.